# 1
136
Lattice="-2.399 -6.179 -10.613 10.568 -6.612 1.460 -5.905 -7.703 7.863" Properties=species:S:1:pos:R:3 comment="Ba3As2H14S8O7 SCAN single point on PBEsol structure" final_energy_ev_per_atom=-10.799 dos_at_fermi_per_ev_atom=0.00 pbc="T T T"
Ba -0.556 -6.427 -0.157
Ba -4.307 -13.618 -1.477
Ba 2.818 -14.066 -1.133
Ba 6.570 -6.875 0.187
Ba -2.087 -11.296 5.141
Ba -3.119 -8.792 -4.482
Ba 4.350 -9.197 -6.432
Ba 5.382 -11.701 3.191
Ba -5.604 -8.408 4.949
Ba 0.950 -10.650 -3.626
Ba 7.867 -12.084 -6.239
Ba 1.313 -9.843 2.335
As -1.337 -7.192 4.327
As 0.368 -6.400 -4.918
As 3.600 -13.301 -5.618
As 1.895 -14.093 3.627
As 1.639 -3.075 0.457
As -2.371 -10.105 -0.899
As 0.624 -17.418 -1.747
As 4.634 -10.388 -0.391
H 2.316 -8.351 -1.032
H -7.042 -12.034 -3.127
H -0.053 -12.142 -0.259
H 9.305 -8.459 1.836
H 1.671 -7.398 -2.098
H -5.719 -12.313 -3.921
H 0.592 -13.094 0.808
H 7.982 -8.180 2.631
H 7.541 -11.667 -0.446
H -1.715 -15.415 -2.527
H -5.278 -8.826 -0.845
H 3.978 -5.078 1.236
H -1.697 -4.849 -2.805
H -1.912 -14.254 -3.637
H 3.960 -15.643 1.515
H 4.175 -6.239 2.346
H 4.887 -6.466 -2.471
H 4.405 -15.703 -3.339
H -2.624 -14.027 1.180
H -2.142 -4.790 2.048
H 3.667 -6.578 -1.448
H 4.615 -16.709 -2.119
H -1.404 -13.915 0.157
H -2.352 -3.783 0.828
H 8.207 -8.760 -1.898
H 0.870 -13.708 -3.714
H -5.944 -11.733 0.608
H 1.393 -6.784 2.423
H 8.508 -9.593 -0.601
H -0.249 -13.652 -2.613
H -6.245 -10.900 -0.690
H 2.512 -6.840 1.322
H -0.647 -12.520 2.703
H 6.238 -14.969 -5.826
H 2.910 -7.972 -3.994
H -3.975 -5.523 4.535
H -1.577 -11.465 1.908
H -2.849 -8.811 -7.748
H 3.840 -9.028 -3.198
H 5.112 -11.682 6.457
H -5.316 -8.440 1.882
H 1.402 -10.784 -6.670
H 7.579 -12.053 -3.173
H 0.860 -9.709 5.379
H -3.777 -8.022 2.179
H 1.072 -9.197 -6.631
H 6.040 -12.471 -3.470
H 1.191 -11.296 5.341
H -4.925 -11.088 3.453
H -1.417 -11.424 -5.543
H 7.188 -9.405 -4.743
H 3.680 -9.069 4.252
H -3.821 -10.373 2.603
H -1.078 -10.230 -6.498
H 6.084 -10.120 -3.893
H 3.341 -10.263 5.208
S -1.637 -8.239 2.444
S -0.067 -7.362 -6.819
S 3.900 -12.254 -3.735
S 2.330 -13.130 5.528
S -2.516 -8.134 5.911
S -0.285 -7.671 -3.261
S 4.779 -12.359 -7.202
S 2.548 -12.822 1.970
S 0.793 -7.372 4.827
S -0.780 -4.529 -4.870
S 1.470 -13.121 -6.118
S 3.043 -15.964 3.580
S -1.945 -5.101 4.195
S 2.503 -6.025 -4.670
S 4.208 -15.392 -5.486
S -0.240 -14.468 3.380
S 0.985 -3.909 -1.442
S -2.465 -11.288 -2.720
S 1.278 -16.584 0.151
S 4.728 -9.205 1.430
S 0.674 -4.191 2.055
S -3.270 -11.262 0.709
S 1.589 -16.302 -3.346
S 5.533 -9.231 -1.999
S 3.813 -3.040 0.610
S -3.278 -8.142 -1.171
S -1.550 -17.453 -1.901
S 5.541 -12.351 -0.120
S 0.916 -1.006 0.396
S -0.222 -9.833 -0.563
S 1.346 -19.487 -1.687
S 2.485 -10.660 -0.728
O 2.191 -7.385 -1.250
O -6.091 -11.742 -3.196
O 0.072 -13.108 -0.040
O 8.354 -8.751 1.906
O -2.077 -4.721 -1.893
O -1.818 -14.421 -2.659
O 4.339 -15.772 0.602
O 4.081 -6.072 1.368
O 4.514 -6.055 -1.635
O 4.761 -15.748 -2.403
O -2.251 -14.437 0.345
O -2.498 -4.744 1.112
O 8.533 -8.655 -0.971
O 0.645 -13.259 -2.863
O -6.270 -11.838 -0.320
O 1.618 -7.234 1.572
O -0.856 -11.539 2.612
O -3.353 -8.118 -7.213
O 3.119 -8.954 -3.903
O 5.616 -12.375 5.922
O -4.737 -7.738 2.268
O 1.708 -9.912 -6.321
O 7.000 -12.755 -3.559
O 0.555 -10.581 5.031
O -4.197 -10.400 3.532
O -1.127 -10.462 -5.524
O 6.460 -10.093 -4.822
O 3.390 -10.031 4.234

=====

# 2
5
Lattice="-3.243 3.898 -0.860 -0.322 -1.359 -4.950 -3.979 -3.068 1.101" Properties=species:S:1:pos:R:3 comment="BaHfAs3 SCAN single point on PBEsol structure" formation_enthalpy_0k_ev_per_atom=-0.75 dos_at_fermi_per_ev_atom=0.64 pbc="T T T"
As -0.161 -0.680 -2.475
As -1.989 -1.534 0.551
As -1.622 1.949 -0.430
Hf 0.000 0.000 0.000
Ba -3.772 -0.264 -2.354

=====

no.,ρ (g/cm³)
1,3.23
2,6.60